VASP calculation (GGA-PBE) on a geometry-optimized Ca2InSnBi structure.

DFT formation energy: 3.7 kJ/mol of atoms

a = 5.875 Å, b = 5.467 Å, c = 5.875 Å
α = 90.00°, β = 90.00°, γ = 90.00°
Sites, in units of the cell vectors:
Ca 0.000 0.000 0.500
Ca 0.500 0.000 0.000
In 0.000 0.000 0.000
Bi 0.500 0.500 0.500
Sn 0.000 0.500 0.000